Entry 1:
DFT (PBE) results for a relaxed structure of MgIrAu2.

The structure in CIF format:
```
data_MgIrAu2
_chemical_formula_sum 'Mg2 Ir2 Au4'
_cell_length_a 3.186
_cell_length_b 4.590
_cell_length_c 9.195
_cell_angle_alpha 90.00
_cell_angle_beta 90.00
_cell_angle_gamma 90.00
_symmetry_space_group_name_H-M 'I m m 2'
_symmetry_Int_Tables_number 44
loop_
_symmetry_equiv_pos_as_xyz
'x,y,z'
'-x,-y,z'
'-x,y,z'
'x,-y,z'
'x+1/2,y+1/2,z+1/2'
'-x+1/2,-y+1/2,z+1/2'
'-x+1/2,y+1/2,z+1/2'
'x+1/2,-y+1/2,z+1/2'
loop_
_atom_site_label
_atom_site_type_symbol
_atom_site_fract_x
_atom_site_fract_y
_atom_site_fract_z
Mg1 Mg 0.000 0.000 0.000
Ir1 Ir 0.000 0.500 0.259
Au1 Au 0.000 0.000 0.506
Au2 Au 0.000 0.500 0.748
```

As for the calculated total energy: -34.70 eV for the cell shown. The energy of formation comes out at -0.085 eV/atom. Its total magnetization is 0.00 μB per atom.

---

Entry 2:
DFT (PBE) results for a relaxed structure of MgIrAu4.

The structure in CIF format:
```
data_MgIrAu4
_chemical_formula_sum 'Mg4 Ir4 Au16'
_cell_length_a 7.658
_cell_length_b 7.658
_cell_length_c 7.658
_cell_angle_alpha 90.00
_cell_angle_beta 90.00
_cell_angle_gamma 90.00
_symmetry_space_group_name_H-M 'F -4 3 m'
_symmetry_Int_Tables_number 216
_symmetry_space_group_name_Hall 'F -4 2 3'
loop_
_atom_site_label
_atom_site_type_symbol
_atom_site_fract_x
_atom_site_fract_y
_atom_site_fract_z
Mg1 Mg 0.000 0.000 0.000
Ir1 Ir 0.250 0.250 0.250
Au1 Au 0.125 0.125 0.625
```

As for the calculated total energy: -88.87 eV for the cell shown. The energy of formation comes out at 0.224 eV/atom. Its total magnetization is 0.00 μB per atom.

---

Entry 3:
DFT (PBE) results for a relaxed structure of Mg8IrAu2.

The structure in CIF format:
```
data_Mg8IrAu2
_chemical_formula_sum 'Mg16 Ir2 Au4'
_cell_length_a 15.170
_cell_length_b 4.574
_cell_length_c 6.689
_cell_angle_alpha 90.00
_cell_angle_beta 113.22
_cell_angle_gamma 90.00
_symmetry_space_group_name_H-M 'C 1 2/m 1'
_symmetry_Int_Tables_number 12
loop_
_symmetry_equiv_pos_as_xyz
'x,y,z'
'-x,-y,-z'
'-x,y,-z'
'x,-y,z'
'x+1/2,y+1/2,z'
'-x+1/2,-y+1/2,-z'
'-x+1/2,y+1/2,-z'
'x+1/2,-y+1/2,z'
loop_
_atom_site_label
_atom_site_type_symbol
_atom_site_fract_x
_atom_site_fract_y
_atom_site_fract_z
Mg1 Mg 0.023 0.000 0.289
Mg2 Mg 0.105 0.500 0.930
Mg3 Mg 0.162 0.500 0.428
Mg4 Mg 0.181 0.000 0.750
Ir1 Ir 0.000 0.500 0.500
Au1 Au 0.182 0.000 0.174
```

As for the calculated total energy: -64.87 eV for the cell shown. The energy of formation comes out at -0.388 eV/atom. Its total magnetization is 0.00 μB per atom.

---

Entry 4:
DFT (PBE) results for a relaxed structure of MgIr3Au.

The structure in CIF format:
```
data_MgIr3Au
_chemical_formula_sum 'Mg1 Ir3 Au1'
_cell_length_a 4.499
_cell_length_b 4.499
_cell_length_c 4.499
_cell_angle_alpha 90.00
_cell_angle_beta 90.00
_cell_angle_gamma 90.00
_symmetry_space_group_name_H-M 'P m -3 m'
_symmetry_Int_Tables_number 221
_symmetry_space_group_name_Hall '-P 4 2 3'
loop_
_atom_site_label
_atom_site_type_symbol
_atom_site_fract_x
_atom_site_fract_y
_atom_site_fract_z
Mg1 Mg 0.000 0.000 0.000
Ir1 Ir 0.000 0.000 0.500
Au1 Au 0.500 0.500 0.500
```

As for the calculated total energy: -22.99 eV for the cell shown. Its polymorph energy (0 for the lowest one) is 0.000 eV per atom. The energy of formation comes out at 1.694 eV/atom. Its total magnetization is 0.00 μB per atom.

---

| no. | density of states at the Fermi level (states/eV/f.u.) |
| --- | --- |
| 1 | 1.54 |
| 2 | 3.38 |
| 3 | 3.47 |
| 4 | 9.83 |